1.
12
Lattice="6.749 0.000 0.026 0.000 6.785 0.000 -0.074 0.000 6.726" Properties=species:S:1:pos:R:3 comment="Ho4NiOs | Alexandria via LeMat-Bulk | PBE | optimized geometry" e_tot_ev_per_cell=-73.24 crystal_system=monoclinic dos_at_fermi_per_ev_atom=0.645 pbc="T T T"
Ho 5.654 4.489 1.126
Ho 4.395 1.097 5.639
Ho 2.235 2.261 2.252
Ho 1.066 5.653 4.487
Ho 1.021 2.296 5.626
Ho 2.280 5.688 1.113
Ho 4.440 4.524 4.500
Ho 5.609 1.131 2.265
Ni 3.337 0.000 3.376
Ni -0.037 3.392 3.363
Os 0.000 0.000 0.000
Os 3.374 3.392 0.013

***

2.
5
Lattice="-1.428 -0.528 3.460 0.389 -3.610 -0.390 3.476 0.216 1.468" Properties=species:S:1:pos:R:3 comment="ZnTcCN2 | Alexandria via LeMat-Bulk | PBE | optimized geometry" formation_energy_uncorrected_ev_per_atom=2.337 crystal_system=tetragonal dos_at_fermi_per_ev_atom=0.665 pbc="T T T"
C 0.000 0.000 0.000
Zn 0.195 -1.805 -0.195
Tc 1.219 -1.961 2.269
N 1.738 0.108 0.734
N -0.714 -0.264 1.730

***

3.
18
Lattice="-1.546 3.249 -6.579 6.438 -4.209 -0.955 -4.334 -6.170 -2.029" Properties=species:S:1:pos:R:3 comment="La2Tm3Si4 | Alexandria via LeMat-Bulk | PBE | optimized geometry" formation_energy_uncorrected_ev_per_atom=-0.772 crystal_system=monoclinic dos_at_fermi_per_ev_atom=0.869 pbc="T T T"
La -1.047 -0.956 -4.654
La 0.173 -5.487 -8.506
La 1.605 -6.174 -4.908
La 0.385 -1.643 -1.057
Tm 1.052 -5.189 -1.492
Tm 2.446 -0.480 -3.767
Tm -3.131 -3.662 -6.860
Tm 2.297 -2.725 -6.282
Tm 3.689 -3.467 -2.702
Tm -1.738 -4.405 -3.281
Si -3.164 -0.767 -6.926
Si 4.830 -2.060 -5.045
Si 3.722 -6.362 -2.636
Si -4.271 -5.069 -4.517
Si 1.317 0.015 -6.463
Si -0.404 -3.914 -5.861
Si -0.759 -7.144 -3.099
Si 0.963 -3.215 -3.702

***

4.
10
Lattice="-3.093 -0.943 -2.916 -0.420 -5.802 -0.930 -7.633 -1.743 5.408" Properties=species:S:1:pos:R:3 comment="Y2AlGa2 | Alexandria via LeMat-Bulk | PBE | optimized geometry" e_tot_ev_per_cell=-51.73 crystal_system=monoclinic dos_at_fermi_per_ev_atom=0.762 pbc="T T T"
Y -1.856 -2.027 -0.627
Y -6.853 -3.565 1.919
Y -9.290 -6.461 2.189
Y -4.294 -4.923 -0.357
Al -5.090 -1.848 -0.506
Al -6.057 -6.640 2.068
Ga -9.864 -3.422 1.815
Ga -3.881 -2.550 1.689
Ga -1.282 -5.067 -0.253
Ga -7.266 -5.939 -0.127